VASP calculation (PBE-GGA) on a relaxed structure of SiAgTe4Au2.

The space group is Fmm2 (No. 42) and the conventional cell measures 8.8957, 8.9022 and 12.4119 Å, with angles of 90.00, 90.00 and 90.00 degrees. The asymmetric unit holds Si at (0.0000, 0.0000, 0.0000), Ag at (0.0000, 0.0000, 0.4994), Te at (0.0000, 0.2355, 0.8781), Te at (0.2358, 0.0000, 0.1219) and Au at (0.2500, 0.2500, 0.2499).

For the formation energy from raw total energies, the calculation gives -0.055 eV/atom.

***

VASP calculation (PBE-GGA) on a relaxed structure of Ce2FeRe3.

The space group is R-3m (No. 166, hexagonal axes) and the conventional cell measures 5.2705, 5.2705 and 13.8590 Å, with angles of 90.00, 90.00 and 120.00 degrees. The asymmetric unit holds Ce at (0.0000, 0.0000, 0.1270), Fe at (0.0000, 0.0000, 0.5000) and Re at (0.0000, 0.5000, 0.0000).

As for the formation energy: -0.3 eV/f.u.

***

VASP calculation (PBE-GGA) on a relaxed structure of TaCdPt.

The space group is C2/m (No. 12) and the conventional cell measures 15.1243, 2.9009 and 5.0872 Å, with angles of 90.00, 107.35 and 90.00 degrees. The asymmetric unit holds Ta at (0.0733, 0.0000, 0.3972), Cd at (0.2481, 0.0000, 0.2467) and Pt at (0.0791, 0.5000, 0.8983).

As for the formation energy: -0.7 eV/f.u.

***

VASP calculation (PBE-GGA) on a relaxed structure of BaSrPdPt.

The space group is Amm2 (No. 38) and the conventional cell measures 4.6124, 4.3575 and 11.5795 Å, with angles of 90.00, 90.00 and 90.00 degrees. The asymmetric unit holds Ba at (0.0000, 0.0000, 0.0000), Sr at (0.5000, 0.0000, 0.7216), Pd at (0.5000, 0.0000, 0.4243) and Pt at (0.0000, 0.0000, 0.2834).

As for the formation energy: -2.7 eV/f.u.

***

VASP calculation (PBE-GGA) on a relaxed structure of AlTcNi2.

The space group is C2/m (No. 12) and the conventional cell measures 8.5077, 2.6312 and 4.5828 Å, with angles of 90.00, 99.26 and 90.00 degrees. The asymmetric unit holds Al at (0.0000, 0.0000, 0.0000), Tc at (0.0000, 0.5000, 0.5000) and Ni at (0.2480, 0.5000, 0.2533).

As for the formation energy: -0.7 eV/f.u.

***

VASP calculation (PBE-GGA) on a relaxed structure of Mn2C.

The space group is R3m (No. 160, hexagonal axes) and the conventional cell measures 2.6174, 2.6174 and 13.6338 Å, with angles of 90.00, 90.00 and 120.00 degrees. The asymmetric unit holds Mn at (0.0000, 0.0000, 0.0000), Mn at (0.0000, 0.0000, 0.1873) and C at (0.0000, 0.0000, 0.4246).

As for the formation energy: 0.2 eV/f.u.